Here is LiLa2CrO5 after structural relaxation from Alexandria. Energies are from PBE+U.

Calculated values
Raw total energy = -7.27 eV/atom

Cell lengths 5.7761, 6.8959, 6.8959 Å; angles 90.00, 90.00, 90.00 degrees
With the nearest neighbours (Å) after each atom.
Fractional positions:
Cr 0.0000 0.5000 0.0000  4 O 1.88
Cr 0.0000 0.0000 0.5000  4 O 1.88
O 0.5000 0.0000 0.0000  4 La 2.53
O 0.7618 0.8687 0.3687  1 Cr 1.88
O 0.2382 0.8687 0.3687  1 Cr 1.88
O 0.7618 0.1313 0.6313  1 Cr 1.88
O 0.2382 0.6313 0.8687  1 Cr 1.88
O 0.2382 0.1313 0.6313  1 Cr 1.88
O 0.7618 0.6313 0.8687  1 Cr 1.88
O 0.7618 0.3687 0.1313  1 Cr 1.88
O 0.2382 0.3687 0.1313  1 Cr 1.88
O 0.5000 0.5000 0.5000  4 La 2.53
La 0.5000 0.8195 0.6805  8 O 2.38-2.65
La 0.5000 0.3195 0.8195  8 O 2.38-2.65
La 0.5000 0.1805 0.3195  8 O 2.38-2.65
La 0.5000 0.6805 0.1805  8 O 2.38-2.65
Li 0.0000 0.5000 0.5000  10 O 2.89-3.03
Li 0.0000 0.0000 0.0000  10 O 2.89-3.03